DFT (PBE) results for an optimized crystal structure of ThHg8.

a b c (Å): 4.431 7.512 7.512
angles (deg): 85.01 72.85 72.85
Fractional coordinates of all 9 atoms:
Hg: 0.665 0.335 0.335
Hg: 0.670 0.661 0.000
Hg: 0.330 0.339 0.000
Hg: 0.670 0.000 0.661
Hg: 0.335 0.665 0.665
Hg: 0.330 0.000 0.339
Hg: 0.000 0.335 0.665
Hg: 0.000 0.665 0.335
Th: 0.000 0.000 0.000

Output
formation energy: -8.91 kJ per mole of atoms

DFT (PBE) results for an optimized crystal structure of LaPaCo4.

a b c (Å): 5.036 5.036 5.036
angles (deg): 60.00 60.00 60.00
Fractional coordinates of all 6 atoms:
Pa: 0.000 0.000 0.000
La: 0.250 0.250 0.250
Co: 0.626 0.626 0.123
Co: 0.123 0.626 0.626
Co: 0.626 0.626 0.626
Co: 0.626 0.123 0.626

Output
formation energy: -15.42 kJ per mole of atoms

DFT (PBE) results for an optimized crystal structure of Pr2Er3Rh2.

a b c (Å): 3.769 6.431 8.549
angles (deg): 73.03 77.27 72.96
Fractional coordinates of all 7 atoms:
Rh: 0.831 0.096 0.243
Rh: 0.169 0.904 0.757
Er: 0.500 0.000 0.000
Er: 0.619 0.194 0.569
Er: 0.381 0.806 0.431
Pr: 0.163 0.480 0.193
Pr: 0.837 0.520 0.807

Output
formation energy: -54.09 kJ per mole of atoms

DFT (PBE) results for an optimized crystal structure of Re2TcSe.

a b c (Å): 5.617 5.617 6.789
angles (deg): 65.56 65.56 90.00
Fractional coordinates of all 8 atoms:
Se: 0.500 0.500 0.000
Se: 0.250 0.750 0.500
Tc: 0.750 0.250 0.500
Tc: 0.000 0.000 0.000
Re: 0.375 0.373 0.750
Re: 0.627 0.125 0.250
Re: 0.875 0.877 0.750
Re: 0.123 0.625 0.250

Output
formation energy (no corrections): 405.0 kJ/mol of formula units

DFT (PBE) results for an optimized crystal structure of Ac2Nd2Tl3.

a b c (Å): 4.602 3.798 13.660
angles (deg): 90.00 80.30 90.00
Fractional coordinates of all 7 atoms:
Tl: 0.152 0.000 0.696
Tl: 0.000 0.000 0.000
Tl: 0.848 0.000 0.304
Ac: 0.574 0.500 0.853
Ac: 0.426 0.500 0.147
Nd: 0.704 0.500 0.591
Nd: 0.296 0.500 0.409

Output
formation energy: -22.63 kJ per mole of atoms

DFT (PBE) results for an optimized crystal structure of TiIBr3.

a b c (Å): 7.519 7.339 9.375
angles (deg): 90.00 90.00 108.71
Fractional coordinates of all 10 atoms:
Br: 0.244 0.750 0.454
Br: 0.756 0.250 0.546
Br: 0.756 0.250 0.954
Br: 0.249 0.301 0.250
Br: 0.751 0.699 0.750
Br: 0.244 0.750 0.046
Ti: 0.354 0.637 0.250
Ti: 0.646 0.363 0.750
I: 0.712 0.759 0.250
I: 0.288 0.241 0.750

Output
formation energy (no corrections): -523.2 kJ/mol of formula units
relative energy among the computed polymorphs: 0.001 eV per atom

DFT (PBE) results for an optimized crystal structure of La6InHg3.

a b c (Å): 5.457 9.812 12.074
angles (deg): 105.37 90.00 90.00
Fractional coordinates of all 20 atoms:
La: 0.750 0.883 0.848
La: 0.750 0.518 0.910
La: 0.250 0.847 0.324
La: 0.750 0.739 0.498
La: 0.750 0.153 0.676
La: 0.250 0.102 0.889
La: 0.750 0.898 0.111
La: 0.250 0.117 0.152
La: 0.250 0.649 0.684
La: 0.750 0.351 0.316
La: 0.250 0.261 0.502
La: 0.250 0.482 0.090
Hg: 0.250 0.372 0.784
Hg: 0.750 0.470 0.626
Hg: 0.250 0.767 0.969
Hg: 0.750 0.628 0.216
Hg: 0.750 0.233 0.031
Hg: 0.250 0.530 0.374
In: 0.750 0.050 0.387
In: 0.250 0.950 0.613

Output
formation energy: -37.60 kJ per mole of atoms

DFT (PBE) results for an optimized crystal structure of Zr2NbRh.

a b c (Å): 7.523 7.523 6.050
angles (deg): 51.56 51.56 90.00
Fractional coordinates of all 8 atoms:
Zr: 0.097 0.625 0.250
Zr: 0.653 0.125 0.250
Zr: 0.375 0.347 0.750
Zr: 0.875 0.903 0.750
Nb: 0.500 0.500 0.000
Nb: 0.250 0.750 0.500
Rh: 0.750 0.250 0.500
Rh: 0.000 0.000 0.000

Output
formation energy: 7.82 kJ per mole of atoms

In the order shown, the computed total energy values come out to -1.185 -7.301 -5.982 -8.637 -3.785 -3.977 -3.711 -8.548 eV per atom.